Entry from the Alexandria database: an optimized crystal structure of Al2TlZnTe (PBE-GGA).

a b c (Å): 5.3948 5.3948 5.9194
angles (deg): 90.00 90.00 90.00
With the nearest neighbours (Å) after each atom.
Atoms (fractional coordinates):
Al  0.0000  0.5000  0.0000  2 Tl 2.70
Al  0.5000  0.0000  0.0000  2 Tl 2.70
Tl  0.0000  0.0000  0.0000  4 Al 2.70, 2 Te 2.96
Zn  0.5000  0.5000  0.5000  4 Te 3.81, 8 Al 4.00
Te  0.0000  0.0000  0.5000  2 Tl 2.96

=====

Entry from the Alexandria database: an optimized crystal structure of ZrAlTl2Te5 (PBE-GGA).

a b c (Å): 10.3173 10.3173 15.0221
angles (deg): 90.00 90.00 157.53
With the nearest neighbours (Å) after each atom.
Atoms (fractional coordinates):
Zr  0.2043  0.7957  0.5000  6 Te 2.83-3.10
Zr  0.7957  0.2043  0.0000  6 Te 2.83-3.10
Al  0.4323  0.5677  0.8893  4 Te 2.60-2.66
Al  0.5677  0.4323  0.3893  4 Te 2.60-2.66
Tl  0.1243  0.8757  0.7970  7 Te 3.34-3.73
Tl  0.1251  0.8749  0.1396  5 Te 3.29-3.57
Tl  0.8749  0.1251  0.6396  5 Te 3.29-3.57
Tl  0.8757  0.1243  0.2970  7 Te 3.34-3.73
Te  0.0510  0.9490  0.5020  2 Al 2.65
Te  0.2929  0.7071  0.1368  2 Zr 2.88
Te  0.3037  0.6963  0.8532  1 Al 2.66
Te  0.3427  0.6573  0.4717  1 Zr 2.83
Te  0.4993  0.5007  0.7414  1 Al 2.60
Te  0.5007  0.4993  0.2414  1 Al 2.60
Te  0.6573  0.3427  0.9717  1 Zr 2.83
Te  0.6963  0.3037  0.3532  1 Al 2.66
Te  0.7071  0.2929  0.6368  2 Zr 2.88
Te  0.9490  0.0510  0.0020  2 Al 2.65

=====

Entry from the Alexandria database: an optimized crystal structure of Tm2Al2Te7 (PBE-GGA).

a b c (Å): 7.8776 7.8776 7.4015
angles (deg): 101.18 101.18 110.47
With the nearest neighbours (Å) after each atom.
Atoms (fractional coordinates):
Tm  0.1938  0.8062  0.0000  6 Te 3.02-3.11
Tm  0.8062  0.1938  0.0000  6 Te 3.02-3.11
Al  0.2502  0.2502  0.6249  4 Te 2.59-2.70
Al  0.7498  0.7498  0.3751  4 Te 2.59-2.70
Te  0.0412  0.3991  0.7644  1 Al 2.59
Te  0.1527  0.1527  0.2411  1 Al 2.67
Te  0.3991  0.0412  0.7644  1 Al 2.59
Te  0.5000  0.5000  0.5000  2 Al 2.70
Te  0.6009  0.9588  0.2356  1 Al 2.59
Te  0.8473  0.8473  0.7589  1 Al 2.67
Te  0.9588  0.6009  0.2356  1 Al 2.59

=====

Entry from the Alexandria database: an optimized crystal structure of TmAlTe3 (PBE-GGA).

a b c (Å): 4.2680 13.2280 13.2280
angles (deg): 148.78 90.00 90.00
With the nearest neighbours (Å) after each atom.
Atoms (fractional coordinates):
Tm  0.2500  0.1740  0.8260  6 Te 2.99-3.11
Tm  0.7500  0.8260  0.1740  6 Te 2.99-3.11
Al  0.2500  0.2861  0.5479  4 Te 2.61-2.69
Al  0.7500  0.5479  0.2861  4 Te 2.61-2.69
Te  0.2500  0.0286  0.4792  1 Al 2.67
Te  0.2500  0.3542  0.1925  2 Al 2.69
Te  0.2500  0.6620  0.8999  1 Al 2.61
Te  0.7500  0.1925  0.3542  2 Al 2.69
Te  0.7500  0.4792  0.0286  1 Al 2.67
Te  0.7500  0.8999  0.6620  1 Al 2.61

=====

Entry from the Alexandria database: an optimized crystal structure of Tm8Al2Te (PBE-GGA).

a b c (Å): 9.8610 9.8610 6.7324
angles (deg): 102.46 102.46 28.58
With the nearest neighbours (Å) after each atom.
Atoms (fractional coordinates):
Tm  0.0301  0.0301  0.2572  1 Al 3.00, 2 Te 3.06
Tm  0.2169  0.2169  0.8157  3 Al 3.12-3.15, 3 Tm 3.33-3.43
Tm  0.3406  0.3406  0.5174  3 Al 3.00-3.08, 1 Te 3.08, 2 Tm 3.33
Tm  0.4024  0.4024  0.0265  2 Al 3.30, 1 Te 3.32, 8 Tm 3.37-3.65
Tm  0.5976  0.5976  0.9735  2 Al 3.30, 1 Te 3.32, 8 Tm 3.37-3.65
Tm  0.6594  0.6594  0.4826  3 Al 3.00-3.08, 1 Te 3.08, 2 Tm 3.33
Tm  0.7831  0.7831  0.1843  3 Al 3.12-3.15, 3 Tm 3.33-3.43
Tm  0.9699  0.9699  0.7428  1 Al 3.00, 2 Te 3.06
Al  0.1867  0.1867  0.2518  9 Tm 3.00-3.30
Al  0.8133  0.8133  0.7482  9 Tm 3.00-3.30
Te  0.5000  0.5000  0.5000  8 Tm 3.06-3.32

=====

Entry from the Alexandria database: an optimized crystal structure of Tm6AlTe5 (PBE-GGA).

a b c (Å): 7.4523 7.4523 7.4524
angles (deg): 99.63 99.63 119.76
With the nearest neighbours (Å) after each atom.
Atoms (fractional coordinates):
Tm  0.0765  0.3878  0.7332  1 Al 2.84, 5 Te 3.06-3.17
Tm  0.2272  0.2272  0.2600  1 Al 2.85, 4 Te 3.07-3.10
Tm  0.3878  0.0765  0.7332  1 Al 2.84, 5 Te 3.06-3.17
Tm  0.6122  0.9235  0.2668  1 Al 2.84, 5 Te 3.06-3.17
Tm  0.7728  0.7728  0.7400  1 Al 2.85, 4 Te 3.07-3.10
Tm  0.9235  0.6122  0.2668  1 Al 2.84, 5 Te 3.06-3.17
Al  0.0000  0.0000  0.5000  6 Tm 2.84-2.85
Te  0.1758  0.8242  0.0000  6 Tm 3.06-3.17
Te  0.3358  0.6642  0.5000  6 Tm 3.06-3.07
Te  0.5000  0.5000  0.0000  6 Tm 3.06-3.25
Te  0.6642  0.3358  0.5000  6 Tm 3.06-3.07
Te  0.8242  0.1758  0.0000  6 Tm 3.06-3.17

=====

For each record above, in turn, the calculated formation energy without anion corrections values are 0.802 -0.500 -0.669 -0.896 -0.301 -1.083 eV per atom.
For each record above, in turn, the calculated DFT total energy values are -2.052 -4.137 -4.161 -4.424 -4.519 -4.939 eV/atom.
For each record above, in turn, the calculated theoretical density values are 4.35 6.33 5.27 4.96 8.34 8.23 g cm⁻³.